5
Lattice="4.904 0.000 0.000 0.000 4.904 0.000 0.000 0.000 4.904" Properties=species:S:1:pos:R:3 comment="Ta3WO GGA+U optimized geometry" total_energy_ev_per_atom=-7.24 spacegroup=Pm-3m de_polymorph_mev_per_atom=2591 n_ef_per_ev_atom=1.650 pbc="T T T"
O 2.452 2.452 2.452
W 0.000 0.000 0.000
Ta 0.000 2.452 0.000
Ta 0.000 0.000 2.452
Ta 2.452 0.000 0.000